# 1
{"formula": "ZnCdBr2", "functional": "GGA-PBEsol", "state": "relaxed", "lattice_angstrom": [[-2.486, -2.452, 0.483], [2.715, -3.412, -3.346], [1.366, -0.325, 5.385]], "species": ["Br", "Br", "Cd", "Zn"], "fractional_positions": [[0.000, 0.070, 0.953], [0.500, 0.732, 0.304], [0.000, 0.500, 0.556], [0.500, 0.199, 0.687]], "e_tot_ev_per_atom": -2.09, "e_form_raw_ev_per_atom": -0.46, "n_ef_per_ev_cell": 0.560}

---

# 2
{"formula": "AuSBr2", "functional": "GGA-PBEsol", "state": "relaxed", "lattice_angstrom": [[-3.575, -1.531, 2.862], [0.080, -4.491, 1.770], [0.816, -0.727, 4.703]], "species": ["S", "Au", "Br", "Br"], "fractional_positions": [[0.000, 0.000, 0.000], [0.500, 0.500, 0.500], [0.250, 0.250, 0.250], [0.750, 0.750, 0.750]], "e_tot_ev_per_atom": -2.24, "e_form_raw_ev_per_atom": 0.77, "n_ef_per_ev_cell": 4.421}

---

# 3
{"formula": "Hg2ClF", "functional": "GGA-PBEsol", "state": "relaxed", "lattice_angstrom": [[4.742, 0.000, 0.000], [2.371, 4.107, 0.000], [2.371, 1.369, 3.872]], "species": ["F", "Hg", "Hg", "Cl"], "fractional_positions": [[0.000, 0.000, 0.000], [0.250, 0.250, 0.250], [0.750, 0.750, 0.750], [0.500, 0.500, 0.500]], "e_tot_ev_per_atom": -1.64, "e_form_raw_ev_per_atom": -0.37, "n_ef_per_ev_cell": 2.244}

---

# 4
{"formula": "Cs3PtAu", "functional": "GGA-PBEsol", "state": "relaxed", "lattice_angstrom": [[-6.097, -1.667, -0.778], [1.744, -6.094, -0.609], [-0.585, -0.796, 6.291]], "species": ["Cs", "Cs", "Cs", "Au", "Pt"], "fractional_positions": [[0.000, 0.500, 0.000], [0.000, 0.000, 0.500], [0.500, 0.000, 0.000], [0.500, 0.500, 0.500], [0.000, 0.000, 0.000]], "e_tot_ev_per_atom": -2.64, "ef_kj_per_mol_atoms": 10.00}

---

# 5
{"formula": "Mg2AsRu2", "functional": "GGA-PBEsol", "state": "relaxed", "lattice_angstrom": [[-0.236, 3.743, 2.112], [-5.561, 1.050, -2.482], [-2.673, -2.865, 4.779]], "species": ["Ru", "Ru", "Ru", "Ru", "As", "As", "Mg", "Mg", "Mg", "Mg"], "fractional_positions": [[0.000, 0.355, 0.855], [0.000, 0.855, 0.645], [0.000, 0.645, 0.145], [0.000, 0.145, 0.355], [0.000, 0.000, 0.000], [0.000, 0.500, 0.500], [0.500, 0.163, 0.663], [0.500, 0.663, 0.837], [0.500, 0.837, 0.337], [0.500, 0.337, 0.163]], "e_tot_ev_per_atom": -6.01, "n_ef_per_ev_cell": 2.804, "ef_kj_per_mol_atoms": -22.17}

---

# 6
{"formula": "CdSiRu2", "functional": "GGA-PBEsol", "state": "relaxed", "lattice_angstrom": [[2.780, 0.000, 0.000], [0.000, 3.562, 0.000], [0.000, 0.000, 6.072]], "species": ["Cd", "Ru", "Ru", "Si"], "fractional_positions": [[0.500, 0.500, 0.758], [0.000, 0.000, 0.032], [0.500, 0.500, 0.276], [0.000, 0.000, 0.435]], "e_tot_ev_per_atom": -6.68, "e_form_raw_ev_per_atom": 0.15, "n_ef_per_ev_cell": 3.876}

---

no.,calculated volume (Å³/f.u.)
1,97.26
2,79.58
3,75.41
4,258.25
5,82.18
6,60.14